1.
The following is a PBE calculation of an optimized crystal structure of AgP, from Alexandria. Values from VASP.

Calculated values
Spin magnetization in μB/cell: 0.0
Uncorrected energy in eV for the cell shown: -28.36
Offset from the most stable computed form in meV/atom: 470
ΔH_f (0 K) in eV per atom: 0.59
Calculated density in Mg/m³: 4.8

```
&SYSTEM
  ibrav = 0, nat = 8, ntyp = 2
/
ATOMIC_SPECIES
Ag 107.87 Ag.upf
P 30.97 P.upf
CELL_PARAMETERS angstrom
2.2954 -3.9757 0.0000
2.2954 3.9757 0.0000
0.0000 0.0000 10.4207
ATOMIC_POSITIONS angstrom
Ag 0.0000 0.0000 2.6052
Ag 0.0000 0.0000 7.8155
Ag 2.2954 1.3252 7.8155
Ag 2.2954 -1.3252 2.6052
P 2.2954 1.3252 1.5226
P 2.2954 -1.3252 6.7330
P 2.2954 -1.3252 8.8980
P 2.2954 1.3252 3.6877
```



2.
The following is a PBE calculation of an optimized crystal structure of AgP, from Alexandria. Values from VASP.

Calculated values
Spin magnetization in μB/cell: 0.0
Uncorrected energy in eV for the cell shown: -15.09
Offset from the most stable computed form in meV/atom: 243
ΔH_f (0 K) in eV per atom: 0.36
Calculated density in Mg/m³: 6.7

```
&SYSTEM
  ibrav = 0, nat = 4, ntyp = 2
/
ATOMIC_SPECIES
Ag 107.87 Ag.upf
P 30.97 P.upf
CELL_PARAMETERS angstrom
5.0136 0.0000 0.0000
0.0000 2.7689 0.0082
0.0000 1.3867 4.9662
ATOMIC_POSITIONS angstrom
Ag 0.0000 1.5566 4.5324
Ag 2.5068 2.9468 4.1646
P 0.0000 1.5692 1.8997
P 2.5068 1.5475 1.8311
```



3.
The following is a PBE calculation of an optimized crystal structure of AgP, from Alexandria. Values from VASP.

Calculated values
Spin magnetization in μB/cell: 0.0
Uncorrected energy in eV for the cell shown: -62.75
Offset from the most stable computed form in meV/atom: 93
ΔH_f (0 K) in eV per atom: 0.21
Calculated density in Mg/m³: 5.2

```
&SYSTEM
  ibrav = 0, nat = 16, ntyp = 2
/
ATOMIC_SPECIES
Ag 107.87 Ag.upf
P 30.97 P.upf
CELL_PARAMETERS angstrom
10.4773 0.0000 0.0000
0.0000 10.4773 0.0000
0.0000 0.0000 3.2344
ATOMIC_POSITIONS angstrom
Ag 5.0475 3.2552 0.0000
Ag 5.4297 7.2221 0.0000
Ag 7.2221 5.0475 0.0000
Ag 3.2552 5.4297 0.0000
Ag 10.2861 8.4938 1.6172
Ag 0.1911 1.9835 1.6172
Ag 1.9835 10.2861 1.6172
Ag 8.4938 0.1911 1.6172
P 3.2165 8.3270 0.0000
P 7.2607 2.1502 0.0000
P 2.1502 3.2165 0.0000
P 8.3270 7.2607 0.0000
P 8.4552 3.0884 1.6172
P 2.0221 7.3889 1.6172
P 7.3889 8.4552 1.6172
P 3.0884 2.0221 1.6172
```



Question: Number 1 is which compound?
Answer: AgP



Question: The lowest ΔH_f (0 K) belongs to which entry?
Answer: number 3